# 1
# Ti2GeS | the Alexandria database | PBE | optimized geometry
data_Ti2GeS
_chemical_formula_sum 'Ti6 Ge3 S3'
_space_group_name_H-M_alt 'R -3 m'
_space_group_IT_number 166
_space_group_name_Hall '-R 3 2"'
_cell_length_a 3.5308
_cell_length_b 3.5308
_cell_length_c 18.0181
_cell_angle_alpha 90.00
_cell_angle_beta 90.00
_cell_angle_gamma 120.00
loop_
_atom_site_label
_atom_site_type_symbol
_atom_site_fract_x
_atom_site_fract_y
_atom_site_fract_z
Ti1 Ti 0.0000 0.0000 0.2402
Ge1 Ge 0.0000 0.0000 0.0000
S1 S 0.0000 0.0000 0.5000
# formation energy without anion corrections	-0.88	eV/atom

# 2
# TeAsAu2 | the Alexandria database | PBE | optimized geometry
data_TeAsAu2
_chemical_formula_sum 'Te2 As2 Au4'
_space_group_name_H-M_alt 'C 1 2/m 1'
_space_group_IT_number 12
_space_group_name_Hall '-C 2y'
_cell_length_a 5.8331
_cell_length_b 10.1252
_cell_length_c 2.9424
_cell_angle_alpha 90.00
_cell_angle_beta 103.05
_cell_angle_gamma 90.00
loop_
_atom_site_label
_atom_site_type_symbol
_atom_site_fract_x
_atom_site_fract_y
_atom_site_fract_z
Te1 Te 0.0000 0.0000 0.0000
As1 As 0.0000 0.5000 0.0000
Au1 Au 0.2500 0.2500 0.5000
# formation energy without anion corrections	0.34	eV/atom

# 3
# BaAc2SO8 | the Alexandria database | PBE | optimized geometry
data_BaAc2SO8
_chemical_formula_sum 'Ba1 Ac2 S1 O8'
_space_group_name_H-M_alt 'P -3 m 1'
_space_group_IT_number 164
_space_group_name_Hall '-P 3 2"'
_cell_length_a 5.4128
_cell_length_b 5.4128
_cell_length_c 7.4515
_cell_angle_alpha 90.00
_cell_angle_beta 90.00
_cell_angle_gamma 120.00
loop_
_atom_site_label
_atom_site_type_symbol
_atom_site_fract_x
_atom_site_fract_y
_atom_site_fract_z
Ba1 Ba 0.0000 0.0000 0.0000
Ac1 Ac 0.3333 0.6667 0.3560
S1 S 0.0000 0.0000 0.5000
O1 O 0.1474 0.2947 0.6312
O2 O 0.3333 0.6667 0.0570
# formation energy without anion corrections	-2.06	eV/atom

# 4
# Zr3TlSb | the Alexandria database | PBE | optimized geometry
data_Zr3TlSb
_chemical_formula_sum 'Zr6 Tl2 Sb2'
_space_group_name_H-M_alt 'P 1'
_space_group_IT_number 1
_space_group_name_Hall 'P 1'
_cell_length_a 3.2908
_cell_length_b 8.7584
_cell_length_c 9.4010
_cell_angle_alpha 116.04
_cell_angle_beta 90.11
_cell_angle_gamma 91.00
loop_
_atom_site_label
_atom_site_type_symbol
_atom_site_fract_x
_atom_site_fract_y
_atom_site_fract_z
Zr1 Zr 0.0000 0.0000 0.0000
Zr2 Zr 0.0034 0.9976 0.6540
Zr3 Zr 0.4650 0.6996 0.3801
Zr4 Zr 0.6956 0.0421 0.3618
Zr5 Zr 0.9258 0.3684 0.9929
Zr6 Zr 0.9785 0.4796 0.5207
Tl1 Tl 0.4522 0.3189 0.6953
Tl2 Tl 0.4574 0.2964 0.2302
Sb1 Sb 0.0616 0.7335 0.1116
Sb2 Sb 0.4888 0.7611 0.7385
# formation energy without anion corrections	-0.16	eV/atom

# 5
# Y4CrTc | the Alexandria database | PBE | optimized geometry
data_Y4CrTc
_chemical_formula_sum 'Y16 Cr4 Tc4'
_space_group_name_H-M_alt 'F -4 3 m'
_space_group_IT_number 216
_space_group_name_Hall 'F -4 2 3'
_cell_length_a 8.5715
_cell_length_b 8.5715
_cell_length_c 8.5715
_cell_angle_alpha 90.00
_cell_angle_beta 90.00
_cell_angle_gamma 90.00
loop_
_atom_site_label
_atom_site_type_symbol
_atom_site_fract_x
_atom_site_fract_y
_atom_site_fract_z
Y1 Y 0.1240 0.1240 0.3760
Cr1 Cr 0.0000 0.0000 0.0000
Tc1 Tc 0.2500 0.2500 0.7500
# formation enthalpy at 0 K	1.0457	eV/atom

# 6
# Al2NiHIr | the Alexandria database | PBE | optimized geometry
data_Al2NiHIr
_chemical_formula_sum 'Al2 Ni1 H1 Ir1'
_space_group_name_H-M_alt 'P 4/m m m'
_space_group_IT_number 123
_space_group_name_Hall '-P 4 2'
_cell_length_a 4.2335
_cell_length_b 4.2335
_cell_length_c 3.0921
_cell_angle_alpha 90.00
_cell_angle_beta 90.00
_cell_angle_gamma 90.00
loop_
_atom_site_label
_atom_site_type_symbol
_atom_site_fract_x
_atom_site_fract_y
_atom_site_fract_z
Al1 Al 0.0000 0.5000 0.0000
Ni1 Ni 0.0000 0.0000 0.5000
H1 H 0.0000 0.0000 0.0000
Ir1 Ir 0.5000 0.5000 0.5000
# DFT total energy	-5.60	eV/atom

# 7
# PrNdTmSn | the Alexandria database | PBE | optimized geometry
data_PrNdTmSn
_chemical_formula_sum 'Pr4 Nd4 Tm4 Sn4'
_space_group_name_H-M_alt 'F -4 3 m'
_space_group_IT_number 216
_space_group_name_Hall 'F -4 2 3'
_cell_length_a 7.8203
_cell_length_b 7.8203
_cell_length_c 7.8203
_cell_angle_alpha 90.00
_cell_angle_beta 90.00
_cell_angle_gamma 90.00
loop_
_atom_site_label
_atom_site_type_symbol
_atom_site_fract_x
_atom_site_fract_y
_atom_site_fract_z
Pr1 Pr 0.0000 0.0000 0.0000
Nd1 Nd 0.0000 0.0000 0.5000
Tm1 Tm 0.2500 0.2500 0.7500
Sn1 Sn 0.2500 0.2500 0.2500
# formation enthalpy at 0 K	-0.2607	eV/atom

# 8
# MgCu2Pd8 | the Alexandria database | PBE | optimized geometry
data_MgCu2Pd8
_chemical_formula_sum 'Mg2 Cu4 Pd16'
_space_group_name_H-M_alt 'C 1 2/m 1'
_space_group_IT_number 12
_space_group_name_Hall '-C 2y'
_cell_length_a 13.9656
_cell_length_b 3.9381
_cell_length_c 6.2449
_cell_angle_alpha 90.00
_cell_angle_beta 106.69
_cell_angle_gamma 90.00
loop_
_atom_site_label
_atom_site_type_symbol
_atom_site_fract_x
_atom_site_fract_y
_atom_site_fract_z
Mg1 Mg 0.0000 0.0000 0.0000
Cu1 Cu 0.2275 0.5000 0.6373
Pd1 Pd 0.0473 0.5000 0.7287
Pd2 Pd 0.0962 0.0000 0.4594
Pd3 Pd 0.1407 0.5000 0.1951
Pd4 Pd 0.1825 0.0000 0.9148
# formation enthalpy at 0 K	-0.2184	eV/atom